# CaCu2Te (GGA-PBE, optimized geometry)
# - D(E_F): 1.6 states/eV/cell
# - Calculated total energy: -3.518 eV per atom
# - Space group: No. 123
data_CaCu2Te
_chemical_formula_sum 'Ca1 Cu2 Te1'
_space_group_name_H-M_alt 'P 1'
_space_group_IT_number 1
_space_group_name_Hall 'P 1'
_cell_length_a 4.2407
_cell_length_b 4.2407
_cell_length_c 4.5444
_cell_angle_alpha 90.00
_cell_angle_beta 90.00
_cell_angle_gamma 90.00
loop_
_atom_site_label
_atom_site_type_symbol
_atom_site_fract_x
_atom_site_fract_y
_atom_site_fract_z
_atom_site_occupancy
Ca1 Ca 0.0000 0.0000 0.0000 1
Cu1 Cu 0.0000 0.5000 0.5000 1
Cu2 Cu 0.5000 0.0000 0.5000 1
Te1 Te 0.5000 0.5000 0.0000 1

# CsTe3Se (GGA-PBE, optimized geometry)
# - D(E_F): 4.6 states/eV/cell
# - Excess energy over the best structure of this formula in the dataset: 293 meV per atom
# - Space group: No. 221
data_CsTe3Se
_chemical_formula_sum 'Cs1 Te3 Se1'
_space_group_name_H-M_alt 'P 1'
_space_group_IT_number 1
_space_group_name_Hall 'P 1'
_cell_length_a 5.7132
_cell_length_b 5.7132
_cell_length_c 5.7132
_cell_angle_alpha 90.00
_cell_angle_beta 90.00
_cell_angle_gamma 90.00
loop_
_atom_site_label
_atom_site_type_symbol
_atom_site_fract_x
_atom_site_fract_y
_atom_site_fract_z
_atom_site_occupancy
Cs1 Cs 0.0000 0.0000 0.0000 1
Te1 Te 0.0000 0.5000 0.5000 1
Te2 Te 0.5000 0.0000 0.5000 1
Te3 Te 0.5000 0.5000 0.0000 1
Se1 Se 0.5000 0.5000 0.5000 1

# K2GeCl2F4 (GGA-PBE, optimized geometry)
# - D(E_F): 0.0 states/eV/cell
# - Calculated total energy: -4.251 eV per atom
# - Space group: No. 12
data_K2GeCl2F4
_chemical_formula_sum 'K2 Ge1 Cl2 F4'
_space_group_name_H-M_alt 'P 1'
_space_group_IT_number 1
_space_group_name_Hall 'P 1'
_cell_length_a 6.6191
_cell_length_b 6.6191
_cell_length_c 5.1154
_cell_angle_alpha 92.54
_cell_angle_beta 92.54
_cell_angle_gamma 53.38
loop_
_atom_site_label
_atom_site_type_symbol
_atom_site_fract_x
_atom_site_fract_y
_atom_site_fract_z
_atom_site_occupancy
K1 K 0.1373 0.1373 0.1547 1
K2 K 0.8627 0.8627 0.8453 1
Ge1 Ge 0.5000 0.5000 0.5000 1
Cl1 Cl 0.3194 0.3194 0.6645 1
Cl2 Cl 0.6806 0.6806 0.3355 1
F1 F 0.2324 0.6762 0.2689 1
F2 F 0.3238 0.7676 0.7311 1
F3 F 0.6762 0.2324 0.2689 1
F4 F 0.7676 0.3238 0.7311 1

# RbNa2GaPb (GGA-PBE, optimized geometry)
# - ΔH_f (0 K): 0.03 eV/atom
# - D(E_F): 2.2 states/eV/cell
# - Excess energy over the best structure of this formula in the dataset: 39 meV per atom
# - Space group: No. 123
data_RbNa2GaPb
_chemical_formula_sum 'Rb1 Na2 Ga1 Pb1'
_space_group_name_H-M_alt 'P 1'
_space_group_IT_number 1
_space_group_name_Hall 'P 1'
_cell_length_a 6.0557
_cell_length_b 6.0557
_cell_length_c 5.6982
_cell_angle_alpha 90.00
_cell_angle_beta 90.00
_cell_angle_gamma 90.00
loop_
_atom_site_label
_atom_site_type_symbol
_atom_site_fract_x
_atom_site_fract_y
_atom_site_fract_z
_atom_site_occupancy
Rb1 Rb 0.0000 0.0000 0.0000 1
Na1 Na 0.0000 0.5000 0.5000 1
Na2 Na 0.5000 0.0000 0.5000 1
Ga1 Ga 0.5000 0.5000 0.0000 1
Pb1 Pb 0.5000 0.5000 0.5000 1

# Li15Mg (GGA-PBE, optimized geometry)
# - ΔH_f (0 K): 0.00 eV/atom
# - D(E_F): 6.7 states/eV/cell
# - Space group: No. 187
data_Li15Mg
_chemical_formula_sum 'Li15 Mg1'
_space_group_name_H-M_alt 'P 1'
_space_group_IT_number 1
_space_group_name_Hall 'P 1'
_cell_length_a 6.1103
_cell_length_b 6.1103
_cell_length_c 9.9648
_cell_angle_alpha 90.00
_cell_angle_beta 90.00
_cell_angle_gamma 120.00
loop_
_atom_site_label
_atom_site_type_symbol
_atom_site_fract_x
_atom_site_fract_y
_atom_site_fract_z
_atom_site_occupancy
Li1 Li 0.0000 0.0000 0.0000 1
Li2 Li 0.9996 0.4998 0.0000 1
Li3 Li 0.3333 0.6667 0.2520 1
Li4 Li 0.3333 0.6667 0.7480 1
Li5 Li 0.3336 0.1668 0.2500 1
Li6 Li 0.3336 0.1668 0.7500 1
Li7 Li 0.5002 0.0004 0.0000 1
Li8 Li 0.5002 0.4998 0.0000 1
Li9 Li 0.5007 0.0015 0.5000 1
Li10 Li 0.5007 0.4993 0.5000 1
Li11 Li 0.8332 0.1668 0.2500 1
Li12 Li 0.8332 0.1668 0.7500 1
Li13 Li 0.8332 0.6664 0.2500 1
Li14 Li 0.8332 0.6664 0.7500 1
Li15 Li 0.9985 0.4993 0.5000 1
Mg1 Mg 0.0000 0.0000 0.5000 1

# NbReAg3 (GGA-PBE, optimized geometry)
# - ΔH_f (0 K): 2.39 eV/atom
# - D(E_F): 5.4 states/eV/cell
# - Excess energy over the best structure of this formula in the dataset: 303 meV per atom
# - Space group: No. 221
data_NbReAg3
_chemical_formula_sum 'Nb1 Re1 Ag3'
_space_group_name_H-M_alt 'P 1'
_space_group_IT_number 1
_space_group_name_Hall 'P 1'
_cell_length_a 5.0694
_cell_length_b 5.0694
_cell_length_c 5.0694
_cell_angle_alpha 90.00
_cell_angle_beta 90.00
_cell_angle_gamma 90.00
loop_
_atom_site_label
_atom_site_type_symbol
_atom_site_fract_x
_atom_site_fract_y
_atom_site_fract_z
_atom_site_occupancy
Nb1 Nb 0.0000 0.0000 0.0000 1
Re1 Re 0.5000 0.5000 0.5000 1
Ag1 Ag 0.0000 0.0000 0.5000 1
Ag2 Ag 0.0000 0.5000 0.0000 1
Ag3 Ag 0.5000 0.0000 0.0000 1

# As2Ru (GGA-PBE, optimized geometry)
# - ΔH_f (0 K): 0.20 eV/atom
# - D(E_F): 2.8 states/eV/cell
# - Space group: No. 71
data_As2Ru
_chemical_formula_sum 'As2 Ru1'
_space_group_name_H-M_alt 'P 1'
_space_group_IT_number 1
_space_group_name_Hall 'P 1'
_cell_length_a 4.7915
_cell_length_b 4.7915
_cell_length_c 4.7915
_cell_angle_alpha 138.97
_cell_angle_beta 136.68
_cell_angle_gamma 61.20
loop_
_atom_site_label
_atom_site_type_symbol
_atom_site_fract_x
_atom_site_fract_y
_atom_site_fract_z
_atom_site_occupancy
As1 As 0.1582 0.1582 0.0000 1
As2 As 0.8418 0.8418 0.0000 1
Ru1 Ru 0.5000 0.5000 0.0000 1

# Tb15PmPr4 (GGA-PBE, optimized geometry)
# - ΔH_f (0 K): 0.02 eV/atom
# - D(E_F): 26.8 states/eV/cell
# - Space group: No. 123
data_Tb15PmPr4
_chemical_formula_sum 'Tb15 Pm1 Pr4'
_space_group_name_H-M_alt 'P 1'
_space_group_IT_number 1
_space_group_name_Hall 'P 1'
_cell_length_a 5.0928
_cell_length_b 5.0928
_cell_length_c 25.3448
_cell_angle_alpha 90.00
_cell_angle_beta 90.00
_cell_angle_gamma 90.00
loop_
_atom_site_label
_atom_site_type_symbol
_atom_site_fract_x
_atom_site_fract_y
_atom_site_fract_z
_atom_site_occupancy
Tb1 Tb 0.0000 0.0000 0.0000 1
Tb2 Tb 0.0000 0.0000 0.1996 1
Tb3 Tb 0.0000 0.0000 0.3999 1
Tb4 Tb 0.0000 0.0000 0.6001 1
Tb5 Tb 0.0000 0.0000 0.8004 1
Tb6 Tb 0.0000 0.5000 0.0994 1
Tb7 Tb 0.0000 0.5000 0.2998 1
Tb8 Tb 0.0000 0.5000 0.5000 1
Tb9 Tb 0.0000 0.5000 0.7002 1
Tb10 Tb 0.0000 0.5000 0.9006 1
Tb11 Tb 0.5000 0.0000 0.0994 1
Tb12 Tb 0.5000 0.0000 0.2998 1
Tb13 Tb 0.5000 0.0000 0.5000 1
Tb14 Tb 0.5000 0.0000 0.7002 1
Tb15 Tb 0.5000 0.0000 0.9006 1
Pm1 Pm 0.5000 0.5000 0.0000 1
Pr1 Pr 0.5000 0.5000 0.1997 1
Pr2 Pr 0.5000 0.5000 0.3999 1
Pr3 Pr 0.5000 0.5000 0.6001 1
Pr4 Pr 0.5000 0.5000 0.8003 1